(1)
DFT (GGA-PBE) results for a relaxed structure of Ce8Ir2Rh.

Calculated values
The space group is C2/m (12). As for the formation energy from the elements: -4.54 eV/f.u. The calculation puts the energy above the most stable polymorph in this dataset at 0 meV per atom.

```
11
Lattice="-1.170 -2.470 -3.684 0.360 -5.702 3.709 -7.723 4.460 2.319" Properties=species:S:1:pos:R:3 pbc="T T T"
Ce -5.280 -3.244 0.996
Ir -6.095 -0.526 -0.567
Ce -8.741 0.565 -0.458
Rh -0.585 -1.235 -1.842
Ce -3.395 -0.269 -1.597
Ce -3.253 -0.468 1.347
Ce 0.207 -4.277 2.801
Ce -1.926 -3.424 0.052
Ce -5.138 -3.443 3.940
Ce -6.607 -0.288 2.292
Ir -2.438 -3.186 2.910
```

***

(2)
DFT (GGA-PBE) results for a relaxed structure of TmSc2PtO.

Calculated values
The space group is P4/mmm (123). Its formation energy from raw total energies is -1704 meV/atom.

```
5
Lattice="-0.412 -4.149 1.117 0.933 -1.182 -4.045 4.519 -0.156 1.088" Properties=species:S:1:pos:R:3 pbc="T T T"
Sc 4.986 -0.747 -0.934
O 4.519 -0.156 1.088
Sc 5.247 -3.413 -2.399
Pt 2.521 -2.744 -0.920
Tm 3.193 -1.260 -3.501
```